No. 1
Computed, not measured: crystalline Hf2BiMoSe at its relaxed geometry at the PBE level of DFT.

a b c (Å): 5.077 5.077 5.206
angles (deg): 90.00 90.00 90.00
Sites, in units of the cell vectors:
Hf 0.000 0.500 0.000
Hf 0.500 0.000 0.000
Bi 0.000 0.000 0.500
Mo 0.000 0.000 0.000
Se 0.500 0.500 0.500

Output
Calculated volume = 26.8 Å³ per atom
Total moment = 0.00 μB per cell
Formation energy (no corrections) = 0.643 eV/atom


No. 2
Computed, not measured: crystalline AcCdGa2 at its relaxed geometry at the PBE level of DFT.

a b c (Å): 14.987 4.522 11.812
angles (deg): 90.00 90.00 90.00
Sites, in units of the cell vectors:
Ac 0.054 0.250 0.246
Ac 0.200 0.750 0.973
Ac 0.300 0.250 0.473
Ac 0.446 0.750 0.746
Ac 0.554 0.250 0.254
Ac 0.700 0.750 0.527
Ac 0.800 0.250 0.027
Ac 0.946 0.750 0.754
Cd 0.059 0.250 0.555
Cd 0.197 0.750 0.671
Cd 0.303 0.250 0.171
Cd 0.441 0.750 0.055
Cd 0.559 0.250 0.945
Cd 0.697 0.750 0.829
Cd 0.803 0.250 0.329
Cd 0.941 0.750 0.445
Ga 0.026 0.250 0.962
Ga 0.115 0.250 0.781
Ga 0.132 0.750 0.448
Ga 0.213 0.750 0.260
Ga 0.287 0.250 0.760
Ga 0.368 0.250 0.948
Ga 0.385 0.750 0.281
Ga 0.474 0.750 0.462
Ga 0.526 0.250 0.538
Ga 0.615 0.250 0.719
Ga 0.632 0.750 0.052
Ga 0.713 0.750 0.240
Ga 0.787 0.250 0.740
Ga 0.868 0.250 0.552
Ga 0.885 0.750 0.219
Ga 0.974 0.750 0.038

Output
Calculated volume = 25.0 Å³ per atom
Energy above the most stable polymorph in this dataset = 0 meV/atom
Total moment = 0.00 μB per cell
Energy of formation = -11.4 kcal/mol of atoms


No. 3
Computed, not measured: crystalline Cu2WSe at its relaxed geometry at the PBE level of DFT.

a b c (Å): 3.217 4.558 8.924
angles (deg): 90.00 90.00 90.00
Sites, in units of the cell vectors:
Cu 0.000 0.000 0.000
Cu 0.000 0.500 0.206
Cu 0.500 0.000 0.206
Cu 0.500 0.500 0.000
W 0.000 0.500 0.764
W 0.500 0.000 0.764
Se 0.000 0.000 0.537
Se 0.500 0.500 0.537

Output
Calculated volume = 16.4 Å³ per atom
Total moment = 0.00 μB per cell
Formation energy (no corrections) = 0.487 eV/atom


No. 4
Computed, not measured: crystalline Sm2HoIr at its relaxed geometry at the PBE level of DFT.

a b c (Å): 7.269 9.648 6.393
angles (deg): 90.00 90.00 90.00
Sites, in units of the cell vectors:
Sm 0.178 0.064 0.174
Sm 0.178 0.436 0.174
Sm 0.322 0.564 0.674
Sm 0.322 0.936 0.674
Sm 0.678 0.064 0.326
Sm 0.678 0.436 0.326
Sm 0.822 0.564 0.826
Sm 0.822 0.936 0.826
Ho 0.037 0.250 0.643
Ho 0.463 0.750 0.143
Ho 0.537 0.250 0.857
Ho 0.963 0.750 0.357
Ir 0.119 0.750 0.954
Ir 0.381 0.250 0.454
Ir 0.619 0.750 0.546
Ir 0.881 0.250 0.046

Output
Calculated volume = 28.0 Å³ per atom
Energy above the most stable polymorph in this dataset = 0 meV/atom
Total moment = 0.00 μB per cell
Energy of formation = -12.0 kcal/mol of atoms


No. 5
Computed, not measured: crystalline FeMoCl2 at its relaxed geometry at the PBE level of DFT.

a b c (Å): 3.017 4.276 13.893
angles (deg): 90.00 90.00 90.00
Sites, in units of the cell vectors:
Fe 0.000 0.000 0.000
Fe 0.500 0.500 0.500
Mo 0.000 0.000 0.500
Mo 0.500 0.500 0.000
Cl 0.000 0.500 0.141
Cl 0.000 0.500 0.859
Cl 0.500 0.000 0.359
Cl 0.500 0.000 0.641

Output
Calculated volume = 22.4 Å³ per atom
Energy above the most stable polymorph in this dataset = 261 meV/atom
Total moment = 4.74 μB per cell
Formation energy (no corrections) = 0.053 eV/atom


No. 6
Computed, not measured: crystalline Y2RhW at its relaxed geometry at the PBE level of DFT.

a b c (Å): 6.990 6.990 6.990
angles (deg): 90.00 90.00 90.00
Sites, in units of the cell vectors:
Y 0.250 0.250 0.250
Y 0.250 0.250 0.750
Y 0.250 0.750 0.250
Y 0.250 0.750 0.750
Y 0.750 0.250 0.250
Y 0.750 0.250 0.750
Y 0.750 0.750 0.250
Y 0.750 0.750 0.750
Rh 0.000 0.000 0.000
Rh 0.000 0.500 0.500
Rh 0.500 0.000 0.500
Rh 0.500 0.500 0.000
W 0.000 0.000 0.500
W 0.000 0.500 0.000
W 0.500 0.000 0.000
W 0.500 0.500 0.500

Output
Calculated volume = 21.3 Å³ per atom
Energy above the most stable polymorph in this dataset = 214 meV/atom
Total moment = 8.26 μB per cell
Energy of formation = 4.4 kcal/mol of atoms


No. 7
Computed, not measured: crystalline BaAgO3 at its relaxed geometry at the PBE level of DFT.

a b c (Å): 4.205 5.953 5.957
angles (deg): 90.00 90.00 90.00
Sites, in units of the cell vectors:
Ba 0.000 0.000 0.000
Ba 0.000 0.500 0.500
Ag 0.500 0.000 0.500
Ag 0.500 0.500 0.000
O 0.000 0.000 0.522
O 0.000 0.500 0.022
O 0.500 0.238 0.238
O 0.500 0.262 0.738
O 0.500 0.738 0.738
O 0.500 0.762 0.238

Output
Calculated volume = 14.9 Å³ per atom
Total moment = 0.38 μB per cell
Formation energy (no corrections) = -0.996 eV/atom


No. 8
Computed, not measured: crystalline Sm2Dy3Ho6Pu at its relaxed geometry at the PBE level of DFT.

a b c (Å): 6.129 6.129 11.676
angles (deg): 95.03 95.03 120.04
Sites, in units of the cell vectors:
Sm 0.167 0.833 0.000
Sm 0.833 0.167 0.000
Dy 0.000 0.000 0.500
Dy 0.333 0.667 0.500
Dy 0.667 0.333 0.500
Ho 0.088 0.417 0.750
Ho 0.254 0.254 0.250
Ho 0.417 0.088 0.750
Ho 0.583 0.912 0.250
Ho 0.746 0.746 0.750
Ho 0.912 0.583 0.250
Pu 0.500 0.500 0.000

Output
Calculated volume = 31.1 Å³ per atom
Total moment = 6.35 μB per cell
Energy of formation = 1.0 kcal/mol of atoms


No. 9
Computed, not measured: crystalline LaNiSnPd at its relaxed geometry at the PBE level of DFT.

a b c (Å): 6.894 6.894 6.894
angles (deg): 90.00 90.00 90.00
Sites, in units of the cell vectors:
La 0.000 0.000 0.000
La 0.000 0.500 0.500
La 0.500 0.000 0.500
La 0.500 0.500 0.000
Ni 0.250 0.250 0.250
Ni 0.250 0.750 0.750
Ni 0.750 0.250 0.750
Ni 0.750 0.750 0.250
Sn 0.000 0.000 0.500
Sn 0.000 0.500 0.000
Sn 0.500 0.000 0.000
Sn 0.500 0.500 0.500
Pd 0.250 0.250 0.750
Pd 0.250 0.750 0.250
Pd 0.750 0.250 0.250
Pd 0.750 0.750 0.750

Output
Calculated volume = 20.5 Å³ per atom
Total moment = 0.00 μB per cell
Energy of formation = -12.3 kcal/mol of atoms


No. 10
Computed, not measured: crystalline Rb6P4W at its relaxed geometry at the PBE level of DFT.

a b c (Å): 10.446 10.446 8.413
angles (deg): 90.00 90.00 120.00
Sites, in units of the cell vectors:
Rb 0.067 0.534 0.000
Rb 0.146 0.293 0.319
Rb 0.146 0.854 0.319
Rb 0.293 0.146 0.819
Rb 0.466 0.534 0.000
Rb 0.466 0.933 0.000
Rb 0.534 0.067 0.500
Rb 0.534 0.466 0.500
Rb 0.707 0.854 0.319
Rb 0.854 0.146 0.819
Rb 0.854 0.707 0.819
Rb 0.933 0.466 0.500
P 0.210 0.421 0.696
P 0.210 0.790 0.696
P 0.333 0.667 0.331
P 0.421 0.210 0.196
P 0.579 0.790 0.696
P 0.667 0.333 0.831
P 0.790 0.210 0.196
P 0.790 0.579 0.196
W 0.333 0.667 0.607
W 0.667 0.333 0.107

Output
Calculated volume = 36.1 Å³ per atom
Total moment = 0.00 μB per cell
Energy of formation = -8.5 kcal/mol of atoms


No. 11
Computed, not measured: crystalline BePb2F5 at its relaxed geometry at the PBE level of DFT.

a b c (Å): 5.388 5.388 8.359
angles (deg): 90.00 90.00 90.00
Sites, in units of the cell vectors:
Be 0.000 0.000 0.000
Be 0.500 0.500 0.500
Pb 0.000 0.500 0.252
Pb 0.000 0.500 0.752
Pb 0.500 0.000 0.252
Pb 0.500 0.000 0.752
F 0.000 0.000 0.806
F 0.221 0.221 0.039
F 0.221 0.779 0.039
F 0.279 0.279 0.539
F 0.279 0.721 0.539
F 0.500 0.500 0.306
F 0.721 0.279 0.539
F 0.721 0.721 0.539
F 0.779 0.221 0.039
F 0.779 0.779 0.039

Output
Calculated volume = 15.2 Å³ per atom
Total moment = 0.00 μB per cell
Formation energy (no corrections) = -2.304 eV/atom


No. 12
Computed, not measured: crystalline Hf12ZnBi6 at its relaxed geometry at the PBE level of DFT.

a b c (Å): 7.653 7.653 7.653
angles (deg): 92.93 92.93 92.93
Sites, in units of the cell vectors:
Hf 0.035 0.950 0.292
Hf 0.050 0.708 0.965
Hf 0.139 0.451 0.361
Hf 0.292 0.035 0.950
Hf 0.361 0.139 0.451
Hf 0.451 0.361 0.139
Hf 0.549 0.639 0.861
Hf 0.639 0.861 0.549
Hf 0.708 0.965 0.050
Hf 0.861 0.549 0.639
Hf 0.950 0.292 0.035
Hf 0.965 0.050 0.708
Zn 0.500 0.500 0.500
Bi 0.210 0.384 0.772
Bi 0.228 0.790 0.616
Bi 0.384 0.772 0.210
Bi 0.616 0.228 0.790
Bi 0.772 0.210 0.384
Bi 0.790 0.616 0.228

Output
Calculated volume = 23.5 Å³ per atom
Total moment = 0.00 μB per cell
Energy of formation = 1.2 kcal/mol of atoms